DFT (PBE-GGA) results for PmPr6Cd after structural relaxation.

Properties
* volume: 34.50 Å³/atom
* DOS(E_F): 32.49 states/eV/cell
* formation energy: 0.02 eV/atom
* ΔE to the lowest computed polymorph: 0.065 eV/atom

CIF file:
```
data_PmPr6Cd
_chemical_formula_sum 'Pm3 Pr18 Cd3'
_cell_length_a 9.7168
_cell_length_b 9.7168
_cell_length_c 10.1282
_cell_angle_alpha 90.00
_cell_angle_beta 90.00
_cell_angle_gamma 120.00
_symmetry_space_group_name_H-M 'R -3'
_symmetry_Int_Tables_number 148
_symmetry_space_group_name_Hall '-R 3'
loop_
_atom_site_label
_atom_site_type_symbol
_atom_site_fract_x
_atom_site_fract_y
_atom_site_fract_z
Pm1 Pm 0.0000 0.0000 0.0000
Pr1 Pr 0.0238 0.2634 0.7139
Cd1 Cd 0.0000 0.0000 0.5000
```